Record 1
A plane-wave DFT calculation with PBE-GGA was carried out for VCr2Co2 after structural relaxation.

Computed properties:
* energy of formation from the pure elements: 0.118 eV/atom
* total magnetization: 0.0 μB/cell
* N(E_F): 1.107 states/eV/atom
* energy above the most stable polymorph in this dataset: 0.00 eV/f.u.
* density: 7.74 Mg/m³

Cell: 6.862 6.862 2.487 Å, 90.00 90.00 90.00°
Sites, in units of the cell vectors:
Co  0.125  0.375  0.000
Co  0.375  0.875  0.000
Co  0.625  0.125  0.000
Co  0.875  0.625  0.000
Cr  0.171  0.671  0.500
Cr  0.329  0.171  0.500
Cr  0.671  0.829  0.500
Cr  0.829  0.329  0.500
V  0.000  0.000  0.000
V  0.500  0.500  0.000

---

Record 2
A plane-wave DFT calculation with PBE-GGA was carried out for TbBiSe3 after structural relaxation.

Computed properties:
* total magnetization: 0.0 μB/cell
* energy above the most stable polymorph in this dataset: 0.00 eV/f.u.
* density: 6.35 Mg/m³
* formation energy (no corrections): -1.12 eV per atom

Cell: 4.168 7.252 10.708 Å, 102.12 90.00 90.00°
Sites, in units of the cell vectors:
Se  0.750  0.948  0.144
Se  0.750  0.754  0.501
Se  0.250  0.052  0.856
Se  0.250  0.483  0.160
Se  0.750  0.517  0.840
Se  0.250  0.246  0.498
Tb  0.250  0.734  0.978
Tb  0.750  0.266  0.022
Bi  0.750  0.140  0.650
Bi  0.250  0.860  0.350

---

Record 3
A plane-wave DFT calculation with PBE-GGA was carried out for NdTm2In after structural relaxation.

Computed properties:
* energy of formation from the pure elements: -0.238 eV/atom
* total magnetization: 0.0 μB/cell
* N(E_F): 0.773 states/eV/atom
* energy above the most stable polymorph in this dataset: 0.07 eV/f.u.
* density: 8.43 Mg/m³

Cell: 3.593 3.593 9.108 Å, 90.00 90.00 90.00°
Sites, in units of the cell vectors:
Tm  0.000  0.000  0.222
Tm  0.000  0.000  0.778
Nd  0.500  0.500  0.500
In  0.500  0.500  0.000

---

Record 4
A plane-wave DFT calculation with PBE-GGA was carried out for NbPd2Rh after structural relaxation.

Computed properties:
* energy of formation from the pure elements: -0.349 eV/atom
* total magnetization: 0.0 μB/cell
* N(E_F): 0.669 states/eV/atom
* density: 10.79 Mg/m³

Cell: 3.985 5.560 6.131 Å, 112.14 90.00 90.00°
Sites, in units of the cell vectors:
Pd  0.750  0.068  0.872
Pd  0.250  0.932  0.128
Pd  0.750  0.567  0.866
Pd  0.250  0.433  0.134
Rh  0.250  0.218  0.615
Rh  0.750  0.782  0.385
Nb  0.750  0.274  0.359
Nb  0.250  0.726  0.641

---

Record 5
A plane-wave DFT calculation with PBE-GGA was carried out for SrTe2H after structural relaxation.

Computed properties:
* total magnetization: 0.0 μB/cell
* N(E_F): 0.333 states/eV/atom
* energy above the most stable polymorph in this dataset: 0.56 eV/f.u.
* density: 5.45 Mg/m³

Cell: 7.395 7.395 6.481 Å, 55.22 55.22 90.00°
Sites, in units of the cell vectors:
H  0.500  0.500  0.000
H  0.250  0.750  0.500
Sr  0.750  0.250  0.500
Sr  0.000  0.000  0.000
Te  0.375  0.490  0.750
Te  0.510  0.125  0.250
Te  0.875  0.760  0.750
Te  0.240  0.625  0.250

---

Record 6
A plane-wave DFT calculation with PBE-GGA was carried out for Ac2DyTe3 after structural relaxation.

Computed properties:
* total magnetization: 0.0 μB/cell
* N(E_F): 0.602 states/eV/atom
* density: 8.01 Mg/m³
* formation energy (no corrections): -1.41 eV per atom

Cell: 8.025 8.025 14.358 Å, 100.99 100.99 108.53°
Sites, in units of the cell vectors:
Ac  0.421  0.421  0.841
Ac  0.579  0.579  0.159
Ac  0.997  0.497  0.994
Ac  0.671  0.171  0.341
Ac  0.253  0.253  0.506
Ac  0.747  0.747  0.494
Ac  0.503  0.003  0.006
Ac  0.829  0.329  0.659
Te  0.023  0.523  0.500
Te  0.227  0.227  0.000
Te  0.661  0.142  0.825
Te  0.086  0.067  0.675
Te  0.392  0.411  0.325
Te  0.933  0.914  0.325
Te  0.773  0.773  0.000
Te  0.858  0.339  0.175
Te  0.164  0.683  0.825
Te  0.477  0.977  0.500
Te  0.317  0.836  0.175
Te  0.589  0.608  0.675
Dy  0.918  0.918  0.835
Dy  0.082  0.082  0.165
Dy  0.332  0.832  0.665
Dy  0.168  0.668  0.335

---

Record 7
A plane-wave DFT calculation with PBE-GGA was carried out for MgCd2Ga2 after structural relaxation.

Computed properties:
* energy of formation from the pure elements: 0.046 eV/atom
* total magnetization: 0.0 μB/cell
* N(E_F): 0.333 states/eV/atom
* energy above the most stable polymorph in this dataset: 0.26 eV/f.u.
* density: 5.87 Mg/m³

Cell: 4.037 4.037 7.325 Å, 74.00 74.00 90.00°
Sites, in units of the cell vectors:
Mg  0.000  0.000  0.000
Ga  0.750  0.250  0.500
Ga  0.250  0.750  0.500
Cd  0.603  0.603  0.794
Cd  0.397  0.397  0.206

---

Record 8
A plane-wave DFT calculation with PBE-GGA was carried out for Sm3Ho3MgSe8 after structural relaxation.

Computed properties:
* total magnetization: 0.0 μB/cell
* N(E_F): 0.222 states/eV/atom
* density: 6.85 Mg/m³
* formation energy (no corrections): -1.76 eV per atom

Cell: 8.156 8.155 8.224 Å, 119.73 90.00 120.00°
Sites, in units of the cell vectors:
Se  0.751  0.993  0.736
Se  0.253  0.507  0.260
Se  0.758  0.515  0.264
Se  0.242  0.485  0.736
Se  0.242  0.993  0.736
Se  0.249  0.007  0.264
Se  0.758  0.007  0.264
Se  0.747  0.493  0.740
Sm  0.500  0.500  0.000
Sm  0.000  0.000  0.000
Sm  0.000  0.500  0.000
Ho  0.500  0.500  0.500
Ho  0.500  0.000  0.500
Ho  0.000  0.500  0.500
Mg  0.000  0.000  0.500